Entry from Alexandria: a relaxed CuPSe crystal (PBE).

Energy relative to the elements, uncorrected ... 1.03 eV/f.u.
Symmetry ... F-43m, No. 216

Geometry as extended XYZ:
```
3
Lattice="0.000 2.987 2.987 2.987 0.000 2.987 2.987 2.987 0.000" Properties=species:S:1:pos:R:3 pbc="T T T"
Cu 0.000 0.000 0.000
P 1.493 1.493 1.493
Se 4.480 4.480 4.480
```